Tm2Si9B36C: relaxed, PBEsol.

Properties
formation energy from raw total energies: -222.9 meV per atom
space-group type: Cm
magnetic moment: 0.0 μB/cell

Cell lengths 7.952, 7.993, 7.993 Å; angles 101.97, 101.92, 78.08 degrees
Atoms (fractional coordinates):
B1 0.106 0.820 0.580
Si1 0.426 0.426 0.574
B2 0.893 0.589 0.825
B3 0.375 0.017 0.802
B4 0.198 0.018 0.625
B5 0.172 0.588 0.109
Si2 0.745 0.734 0.654
B6 0.019 0.201 0.625
B7 0.799 0.978 0.372
B8 0.172 0.891 0.412
B9 0.983 0.982 0.276
B10 0.419 0.819 0.891
B11 0.590 0.177 0.110
B12 0.628 0.799 0.021
B13 0.799 0.628 0.022
B14 0.977 0.796 0.371
B15 0.726 0.983 0.017
Si3 0.254 0.266 0.344
B16 0.873 0.446 0.126
B17 0.106 0.420 0.180
B18 0.006 0.297 0.994
Si4 0.571 0.569 0.431
Si5 0.254 0.656 0.734
B19 0.590 0.890 0.823
B20 0.198 0.375 0.982
B21 0.983 0.724 0.018
B22 0.419 0.109 0.181
B23 0.006 0.006 0.703
B24 0.893 0.175 0.411
Tm1 0.500 0.001 0.500
B25 0.823 0.422 0.893
B26 0.123 0.121 0.437
Tm2 0.500 0.500 0.999
B27 0.873 0.874 0.554
C1 0.934 0.932 0.068
B28 0.019 0.375 0.799
Si6 0.042 0.045 0.955
B29 0.628 0.979 0.201
B30 0.445 0.874 0.126
Si7 0.342 0.736 0.264
Si8 0.745 0.346 0.266
B31 0.123 0.563 0.879
B32 0.823 0.107 0.578
B33 0.977 0.629 0.204
B34 0.565 0.122 0.878
Si9 0.662 0.262 0.738
B35 0.375 0.198 0.983
B36 0.296 0.006 0.994